No. 1
## SrLi2Fe (PBE-GGA)

Data for a relaxed structure of SrLi2Fe.

* calculated density: 2664 kg/m3
* magnetic moment: 2.79 μB/f.u.
* ΔH_f (0 K): 602 meV/atom

Structure (extended XYZ):
```
4
Lattice="-8.1768 2.7124 4.6078 -9.3156 2.6100 1.3623 -9.2125 -0.2710 3.2412" Properties=species:S:1:pos:R:3 pbc="T T T"
Fe -19.7505 3.7360 6.8125
Li -0.2253 0.0426 0.0777
Li -6.9960 1.3234 2.4131
Sr -13.0856 2.4753 4.5136
```



No. 2
## LaPu2Tc (PBE-GGA)

Data for a relaxed structure of LaPu2Tc.

* calculated density: 12146 kg/m3
* magnetic moment: 10.49 μB/f.u.
* ΔH_f (0 K): 121 meV/atom

Structure (extended XYZ):
```
4
Lattice="-0.6153 -1.8773 -2.7139 3.0653 0.6974 -1.1774 3.2023 -7.0581 4.1563" Properties=species:S:1:pos:R:3 pbc="T T T"
La 2.8261 -4.1190 0.1325
Tc 1.2250 -0.5900 -1.9457
Pu 2.5789 -5.6841 3.3472
Pu 0.6234 -1.3740 0.8091
```



No. 3
## Hf8Cu2Ge (PBE-GGA)

Data for a relaxed structure of Hf8Cu2Ge.

* calculated density: 12139 kg/m3
* magnetic moment: 0.00 μB/f.u.
* ΔH_f (0 K): 1 meV/atom

Structure (extended XYZ):
```
11
Lattice="4.7611 -0.1427 -0.2142 -0.9938 7.2980 -0.2918 -0.9938 -3.0801 6.6227" Properties=species:S:1:pos:R:3 pbc="T T T"
Hf 2.7291 4.4715 4.0596
Hf 2.7291 2.0243 5.6901
Hf 0.2756 2.5318 3.8001
Hf 1.3867 4.8102 1.2111
Hf 1.3867 -0.7349 4.9056
Hf 2.4978 1.5434 2.3166
Hf 0.0444 2.0510 0.4265
Hf 0.0444 -0.3963 2.0570
Cu -0.9938 0.1464 4.4730
Cu -0.9938 4.0715 1.8579
Ge 2.3805 -0.0714 -0.1071
```



No. 4
## Hf2Pt4Au (PBE-GGA)

Data for a relaxed structure of Hf2Pt4Au.

* calculated density: 17257 kg/m3
* magnetic moment: 0.00 μB/f.u.
* ΔH_f (0 K): -814 meV/atom

Structure (extended XYZ):
```
28
Lattice="4.3925 0.0000 0.0000 0.0000 5.5291 0.0000 0.0000 0.0000 21.1461" Properties=species:S:1:pos:R:3 pbc="T T T"
Au 3.2944 0.0828 12.8411
Au 1.0981 5.4463 8.3050
Au 1.0981 2.8474 18.8780
Au 3.2944 2.6817 2.2681
Hf 1.0981 4.2376 11.2111
Hf 3.2944 1.2915 9.9350
Hf 3.2944 1.4730 20.5080
Hf 1.0981 4.0561 0.6380
Hf 1.0981 5.3245 16.4531
Hf 3.2944 0.2046 4.6930
Hf 3.2944 2.5599 15.2661
Hf 1.0981 2.9692 5.8800
Pt 1.0981 1.2529 14.2853
Pt 3.2944 4.2762 6.8608
Pt 3.2944 4.0174 17.4338
Pt 1.0981 1.5117 3.7123
Pt 1.0981 3.9593 14.1010
Pt 3.2944 1.5698 7.0451
Pt 3.2944 1.1947 17.6181
Pt 1.0981 4.3344 3.5280
Pt 1.0981 1.3933 11.5118
Pt 3.2944 4.1358 9.6343
Pt 3.2944 4.1579 20.2074
Pt 1.0981 1.3712 0.9387
Pt 1.0981 2.6180 8.7243
Pt 3.2944 2.9111 12.4218
Pt 3.2944 5.3825 1.8487
Pt 1.0981 0.1466 19.2974
```



Q: What is the formula in the fourth record?
A: Hf2Pt4Au



Copy entry 3 word for word.
## Hf8Cu2Ge (PBE-GGA)

Data for a relaxed structure of Hf8Cu2Ge.

* calculated density: 12139 kg/m3
* magnetic moment: 0.00 μB/f.u.
* ΔH_f (0 K): 1 meV/atom

Structure (extended XYZ):
```
11
Lattice="4.7611 -0.1427 -0.2142 -0.9938 7.2980 -0.2918 -0.9938 -3.0801 6.6227" Properties=species:S:1:pos:R:3 pbc="T T T"
Hf 2.7291 4.4715 4.0596
Hf 2.7291 2.0243 5.6901
Hf 0.2756 2.5318 3.8001
Hf 1.3867 4.8102 1.2111
Hf 1.3867 -0.7349 4.9056
Hf 2.4978 1.5434 2.3166
Hf 0.0444 2.0510 0.4265
Hf 0.0444 -0.3963 2.0570
Cu -0.9938 0.1464 4.4730
Cu -0.9938 4.0715 1.8579
Ge 2.3805 -0.0714 -0.1071
```



Q: What is the ΔH_f (0 K) in the first record?
A: 602 meV/atom